# Na6Mo11O36

An optimized crystal structure of Na6Mo11O36 (PBE+U, Alexandria).

## Properties
- DFT total energy (Ha/atom) = -0.245
- size of the total moment (Bohr magnetons per cell) = 0.56
- crystal system = monoclinic

Lattice parameters (Å, degrees): 7.4107 18.1801 22.8534 90.00 90.26 90.00
Closest atoms and distances in Å follow each position.
Space group C2/c (No. 15)
One atom of each set of equivalent atoms:
Na 0.0000 0.0031 0.2500  6 O 2.37-2.64
Na 0.0139 0.0011 0.0885  6 O 2.39-2.62
Na 0.2349 0.2468 0.1703  6 O 2.34-2.61
Na 0.2500 0.2500 0.0000  6 O 2.39-2.47
Mo 0.0000 0.4306 0.2500  2 O 1.73
Mo 0.0378 0.4050 0.9149  3 O 1.74-1.84
Mo 0.0488 0.4090 0.0835  3 O 1.74-1.94
Mo 0.2051 0.1562 0.5016  3 O 1.74-1.90
Mo 0.2165 0.1558 0.3233  3 O 1.74-1.86
Mo 0.2164 0.1685 0.6706  3 O 1.76-1.83
O 0.0239 0.4030 0.3350  2 Mo 1.94-2.01
O 0.0343 0.4046 0.4984  2 Mo 1.97-2.06
O 0.0434 0.3979 0.6611  2 Mo 1.84-2.06
O 0.0476 0.0851 0.5028  1 Mo 1.74
O 0.0605 0.0843 0.3342  1 Mo 1.76
O 0.0623 0.2440 0.6694  1 Mo 1.79
O 0.0715 0.2372 0.5010  1 Mo 1.77
O 0.0742 0.0911 0.6654  1 Mo 1.76
O 0.0891 0.2403 0.3423  1 Mo 1.86
O 0.1614 0.4902 0.9162  1 Mo 1.80
O 0.1830 0.4891 0.2433  1 Mo 1.73
O 0.1895 0.4874 0.0820  1 Mo 1.77
O 0.2011 0.3374 0.2542  1 Mo 1.83
O 0.2018 0.3364 0.0819  1 Mo 1.74
O 0.2030 0.3369 0.9191  1 Mo 1.74
O 0.2053 0.3475 0.4176  3 Mo 1.96-2.19
O 0.2112 0.3486 0.5769  2 Mo 1.90-2.12
O 0.2349 0.1622 0.2477  1 Mo 1.74